No. 1
The following is a DFT calculation (PBE) of a geometry-optimized Th4NiTe3 structure.

Values from the calculation:
uncorrected energy	-6.5005	eV/atom
spin magnetization	0.00	μB per formula unit
space group	P2/c, No. 13
calculated density	9.3	g/cm3

Lattice parameters (Å, degrees): 7.4908 7.7970 8.8475 90.00 90.00 109.22
Fractional positions:
Ni 0.7500 0.0000 0.8746
Ni 0.2500 0.0000 0.1254
Te 0.7500 0.0000 0.3728
Te 0.2500 0.0000 0.6272
Te 0.7500 0.5000 0.6195
Te 0.7500 0.5000 0.1286
Te 0.2500 0.5000 0.3805
Te 0.2500 0.5000 0.8714
Th 0.9738 0.2226 0.6491
Th 0.5041 0.2089 0.8962
Th 0.4738 0.2226 0.3509
Th 0.0041 0.2089 0.1038
Th 0.9959 0.7911 0.8962
Th 0.5262 0.7774 0.6491
Th 0.4959 0.7911 0.1038
Th 0.0262 0.7774 0.3509

No. 2
The following is a DFT calculation (PBE) of a geometry-optimized PrPuRh structure.

Values from the calculation:
spin magnetization	0.01	μB per formula unit
space group	R-3m, No. 166
ΔH_f (0 K)	-0.14	eV/atom
offset from the most stable computed form	263	meV per atom
calculated density	11.4	g/cm3

Lattice parameters (Å, degrees): 3.6904 3.6904 12.2724 81.35 81.35 60.00
Fractional positions:
Rh 0.5994 0.5994 0.2019
Rh 0.4006 0.4006 0.7981
Pu 0.3167 0.3167 0.0499
Pu 0.6833 0.6833 0.9501
Pr 0.8810 0.8810 0.3569
Pr 0.1190 0.1190 0.6431

No. 3
The following is a DFT calculation (PBE) of a geometry-optimized LiPrBi2Pd4 structure.

Values from the calculation:
spin magnetization	0.00	μB per formula unit
space group	R-3m, No. 166
ΔH_f (0 K)	-0.54	eV/atom
calculated density	10.1	g/cm3

Lattice parameters (Å, degrees): 4.7054 4.7054 8.8980 74.67 74.67 60.00
Fractional positions:
Li 0.5000 0.5000 0.5000
Pr 0.0000 0.0000 0.0000
Bi 0.7570 0.7570 0.7291
Bi 0.2430 0.2430 0.2709
Pd 0.3962 0.3962 0.8113
Pd 0.8676 0.8676 0.3972
Pd 0.1324 0.1324 0.6028
Pd 0.6038 0.6038 0.1887

No. 4
The following is a DFT calculation (PBE) of a geometry-optimized Os3RuN structure.

Values from the calculation:
spin magnetization	0.00	μB per formula unit
space group	Pm-3m, No. 221
offset from the most stable computed form	0	meV per atom
calculated density	17.4	g/cm3

Lattice parameters (Å, degrees): 4.0269 4.0269 4.0269 90.00 90.00 90.00
Fractional positions:
Ru 0.5000 0.5000 0.5000
Os 0.0000 0.5000 0.0000
Os 0.0000 0.0000 0.5000
Os 0.5000 0.0000 0.0000
N 0.0000 0.0000 0.0000

No. 5
The following is a DFT calculation (PBE) of a geometry-optimized Zn2InGa3 structure.

Values from the calculation:
spin magnetization	0.00	μB per formula unit
space group	R-3m, No. 166
ΔH_f (0 K)	0.08	eV/atom
offset from the most stable computed form	29	meV per atom
calculated density	6.5	g/cm3

Lattice parameters (Å, degrees): 6.1736 6.1736 7.8828 66.95 66.95 60.00
Fractional positions:
Zn 0.0000 0.0000 0.0000
Zn 0.0000 0.5000 0.0000
Zn 0.5000 0.5000 0.0000
Zn 0.5000 0.0000 0.0000
In 0.7821 0.7821 0.6537
In 0.2179 0.2179 0.3463
Ga 0.2402 0.7240 0.3118
Ga 0.7240 0.2402 0.3118
Ga 0.7240 0.7240 0.3118
Ga 0.2760 0.7598 0.6882
Ga 0.7598 0.2760 0.6882
Ga 0.2760 0.2760 0.6882

No. 6
The following is a DFT calculation (PBE) of a geometry-optimized Hf2Be3 structure.

Values from the calculation:
spin magnetization	0.35	μB per formula unit
space group	Cmcm, No. 63
ΔH_f (0 K)	-0.13	eV/atom
calculated density	9.0	g/cm3

Lattice parameters (Å, degrees): 3.2240 3.7719 11.7196 90.00 97.91 90.00
Site moments in Bohr magnetons follow the coordinates.
Fractional positions:
Hf 0.2925 0.7500 0.5849  0.19
Hf 0.7075 0.2500 0.4151  0.19
Hf 0.5702 0.7500 0.1404  0.02
Hf 0.4298 0.2500 0.8596  0.02
Be 0.1655 0.7500 0.3311  0.01
Be 0.8345 0.2500 0.6689  0.01
Be 0.8835 0.7500 0.7670  0.00
Be 0.1165 0.2500 0.2330  0.00
Be 0.0229 0.2500 0.0458  0.00
Be 0.9771 0.7500 0.9542  0.00

No. 7
The following is a DFT calculation (PBE) of a geometry-optimized Ca2PrSm structure.

Values from the calculation:
spin magnetization	0.00	μB per formula unit
space group	P4/mmm, No. 123
ΔH_f (0 K)	0.12	eV/atom
offset from the most stable computed form	82	meV per atom
calculated density	4.1	g/cm3

Lattice parameters (Å, degrees): 5.6399 5.1409 5.1409 90.00 90.00 90.00
Fractional positions:
Pr 0.5000 0.5000 0.5000
Ca 0.0000 0.0000 0.5000
Ca 0.0000 0.5000 0.0000
Sm 0.5000 0.0000 0.0000

No. 8
The following is a DFT calculation (PBE) of a geometry-optimized LiMn2Cl structure.

Values from the calculation:
spin magnetization	7.80	μB per formula unit
space group	Immm, No. 71
offset from the most stable computed form	180	meV per atom
calculated density	3.3	g/cm3

Lattice parameters (Å, degrees): 7.8850 7.8850 3.2264 78.18 78.18 22.69
Site moments in Bohr magnetons follow the coordinates.
Fractional positions:
Cl 0.7500 0.7500 0.7500  0.02
Li 0.2500 0.2500 0.2500  0.00
Mn 0.0506 0.0506 0.9492  3.71
Mn 0.4494 0.4494 0.5508  3.71

No. 9
The following is a DFT calculation (PBE) of a geometry-optimized RbAlHg2Se structure.

Values from the calculation:
uncorrected energy	-2.1178	eV/atom
spin magnetization	0.00	μB per formula unit
space group	P4/mmm, No. 123
calculated density	6.4	g/cm3

Lattice parameters (Å, degrees): 5.3906 5.3906 5.2996 90.00 90.00 90.00
Fractional positions:
Se 0.0000 0.0000 0.5000
Hg 0.0000 0.5000 0.0000
Hg 0.5000 0.0000 0.0000
Rb 0.5000 0.5000 0.5000
Al 0.0000 0.0000 0.0000

No. 10
The following is a DFT calculation (PBE) of a geometry-optimized CeNdGaSn structure.

Values from the calculation:
spin magnetization	0.05	μB per formula unit
space group	P4/nmm, No. 129
ΔH_f (0 K)	-0.41	eV/atom
offset from the most stable computed form	99	meV per atom
calculated density	7.4	g/cm3

Lattice parameters (Å, degrees): 4.3151 4.3151 11.4590 90.00 90.00 90.00
Fractional positions:
Ce 0.0000 0.0000 0.5000
Ce 0.5000 0.5000 0.5000
Nd 0.0000 0.5000 0.7787
Nd 0.5000 0.0000 0.2213
Ga 0.0000 0.5000 0.3021
Ga 0.5000 0.0000 0.6979
Sn 0.5000 0.0000 0.9449
Sn 0.0000 0.5000 0.0551

No. 11
The following is a DFT calculation (PBE) of a geometry-optimized PmPr6Ho4 structure.

Values from the calculation:
spin magnetization	0.00	μB per formula unit
space group	I-42m, No. 121
ΔH_f (0 K)	0.29	eV/atom
offset from the most stable computed form	141	meV per atom
calculated density	7.1	g/cm3

Lattice parameters (Å, degrees): 10.0263 10.0263 10.0263 55.59 141.49 141.49
Fractional positions:
Pm 0.0000 0.0000 0.0000
Pr 0.0000 0.8161 0.4588
Pr 0.0000 0.4588 0.8161
Pr 0.3573 0.5412 0.5412
Pr 0.5000 0.5000 0.0000
Pr 0.6427 0.1839 0.1839
Pr 0.5000 0.0000 0.5000
Ho 0.0000 0.6407 0.0100
Ho 0.3692 0.3593 0.3593
Ho 0.0000 0.0100 0.6407
Ho 0.6308 0.9900 0.9900

No. 12
The following is a DFT calculation (PBE) of a geometry-optimized CdCoS2Cl structure.

Values from the calculation:
spin magnetization	3.05	μB per formula unit
space group	P4/mmm, No. 123
offset from the most stable computed form	771	meV per atom
calculated density	3.6	g/cm3

Lattice parameters (Å, degrees): 4.9909 4.9909 5.0647 90.00 90.00 90.00
Site moments in Bohr magnetons follow the coordinates.
Fractional positions:
S 0.0000 0.5000 0.0000  0.18
S 0.5000 0.0000 0.0000  0.18
Cl 0.0000 0.0000 0.5000  0.04
Co 0.5000 0.5000 0.5000  2.35
Cd 0.0000 0.0000 0.0000  0.01

No. 13
The following is a DFT calculation (PBE) of a geometry-optimized K3RuO6 structure.

Values from the calculation:
spin magnetization	1.07	μB per formula unit
space group	P2_1/c, No. 14
offset from the most stable computed form	0	meV per atom
calculated density	3.0	g/cm3

Lattice parameters (Å, degrees): 6.1878 6.4223 8.8295 90.00 89.88 90.00
Site moments in Bohr magnetons follow the coordinates.
Fractional positions:
K 0.5125 0.9538 0.7540  0.00
K 0.5000 0.5000 0.0000  0.00
K 0.4875 0.0462 0.2460  0.00
K 0.0125 0.5462 0.2540  0.00
K 0.0000 0.0000 0.5000  0.00
K 0.9875 0.4538 0.7460  0.00
Ru 0.5000 0.5000 0.5000  -0.12
Ru 0.0000 0.0000 0.0000  -0.12
O 0.7571 0.1652 0.9675  0.03
O 0.6605 0.2611 0.5527  0.26
O 0.5810 0.4650 0.2971  0.20
O 0.4190 0.5350 0.7029  0.20
O 0.3395 0.7389 0.4473  0.26
O 0.2429 0.8348 0.0325  0.03
O 0.2571 0.3348 0.4675  0.03
O 0.1605 0.2389 0.0527  0.26
O 0.0810 0.0350 0.7971  0.20
O 0.9190 0.9650 0.2029  0.20
O 0.8395 0.7611 0.9473  0.26
O 0.7429 0.6652 0.5325  0.03

No. 14
The following is a DFT calculation (PBE) of a geometry-optimized MgFeB3 structure.

Values from the calculation:
spin magnetization	0.03	μB per formula unit
space group	Pm-3m, No. 221
ΔH_f (0 K)	2.76	eV/atom
offset from the most stable computed form	2154	meV per atom
calculated density	2.7	g/cm3

Lattice parameters (Å, degrees): 4.1162 4.1162 4.1162 90.00 90.00 90.00
Fractional positions:
Mg 0.0000 0.0000 0.0000
B 0.0000 0.5000 0.0000
B 0.0000 0.0000 0.5000
B 0.5000 0.0000 0.0000
Fe 0.5000 0.5000 0.5000

No. 15
The following is a DFT calculation (PBE) of a geometry-optimized Th2TeAu structure.

Values from the calculation:
spin magnetization	0.00	μB per formula unit
space group	R-3m, No. 166
offset from the most stable computed form	5	meV per atom
calculated density	10.7	g/cm3

Lattice parameters (Å, degrees): 4.3937 4.3937 7.7585 73.55 73.55 60.00
Fractional positions:
Te 0.5000 0.5000 0.5000
Au 0.0000 0.0000 0.0000
Th 0.2585 0.2585 0.2245
Th 0.7415 0.7415 0.7755

No. 16
The following is a DFT calculation (PBE) of a geometry-optimized BaSn2MoAs structure.

Values from the calculation:
spin magnetization	2.50	μB per formula unit
space group	P4/mmm, No. 123
ΔH_f (0 K)	0.35	eV/atom
calculated density	5.8	g/cm3

Lattice parameters (Å, degrees): 5.6575 4.8505 5.6575 90.00 90.00 90.00
Site moments in Bohr magnetons follow the coordinates.
Fractional positions:
As 0.0000 0.0000 0.0000  -0.05
Mo 0.0000 0.5000 0.0000  2.13
Ba 0.5000 0.5000 0.5000  0.02
Sn 0.0000 0.0000 0.5000  -0.02
Sn 0.5000 0.0000 0.0000  -0.06

No. 17
The following is a DFT calculation (PBE) of a geometry-optimized Sc3Pd3Pt structure.

Values from the calculation:
spin magnetization	0.00	μB per formula unit
space group	P2_13, No. 198
ΔH_f (0 K)	-0.88	eV/atom
calculated density	8.4	g/cm3

Lattice parameters (Å, degrees): 8.0210 8.0210 8.0210 90.00 90.00 90.00
Fractional positions:
Sc 0.7896 0.6318 0.9793
Sc 0.8682 0.0207 0.2896
Sc 0.9793 0.7896 0.6318
Sc 0.1318 0.5207 0.2104
Sc 0.2104 0.1318 0.5207
Sc 0.2896 0.8682 0.0207
Sc 0.0207 0.2896 0.8682
Sc 0.3682 0.4793 0.7104
Sc 0.5207 0.2104 0.1318
Sc 0.6318 0.9793 0.7896
Sc 0.7104 0.3682 0.4793
Sc 0.4793 0.7104 0.3682
Pd 0.8414 0.3414 0.1586
Pd 0.9539 0.9539 0.9539
Pd 0.8339 0.6661 0.3339
Pd 0.1586 0.8414 0.3414
Pd 0.1661 0.1661 0.1661
Pd 0.3339 0.8339 0.6661
Pd 0.0461 0.4539 0.5461
Pd 0.3414 0.1586 0.8414
Pd 0.6661 0.3339 0.8339
Pd 0.6586 0.6586 0.6586
Pd 0.5461 0.0461 0.4539
Pd 0.4539 0.5461 0.0461
Pt 0.1162 0.6162 0.8838
Pt 0.8838 0.1162 0.6162
Pt 0.3838 0.3838 0.3838
Pt 0.6162 0.8838 0.1162

No. 18
The following is a DFT calculation (PBE) of a geometry-optimized ErZnInGa structure.

Values from the calculation:
spin magnetization	0.00	μB per formula unit
space group	F-43m, No. 216
ΔH_f (0 K)	-0.21	eV/atom
calculated density	8.2	g/cm3

Lattice parameters (Å, degrees): 4.9215 4.9215 4.9215 60.00 60.00 60.00
Fractional positions:
Zn 0.7500 0.7500 0.7500
In 0.5000 0.5000 0.5000
Ga 0.2500 0.2500 0.2500
Er 0.0000 0.0000 0.0000

No. 19
The following is a DFT calculation (PBE) of a geometry-optimized ZrNb2Se5 structure.

Values from the calculation:
spin magnetization	0.00	μB per formula unit
space group	Cmcm, No. 63
offset from the most stable computed form	0	meV per atom
calculated density	5.6	g/cm3

Lattice parameters (Å, degrees): 5.1307 6.9150 12.0126 90.00 90.00 111.78
Fractional positions:
Zr 0.8006 0.6013 0.7500
Zr 0.1994 0.3987 0.2500
Nb 0.8259 0.6519 0.4714
Nb 0.8259 0.6519 0.0286
Nb 0.1741 0.3481 0.5286
Nb 0.1741 0.3481 0.9714
Se 0.9606 0.9212 0.8829
Se 0.9606 0.9212 0.6171
Se 0.3500 0.7000 0.4200
Se 0.3500 0.7000 0.0800
Se 0.7620 0.5240 0.2500
Se 0.2380 0.4760 0.7500
Se 0.6500 0.3000 0.5800
Se 0.6500 0.3000 0.9200
Se 0.0394 0.0788 0.1171
Se 0.0394 0.0788 0.3829